Record 1
The following is a PBE calculation of a relaxed structure of SbHPb2, from Alexandria via LeMat-Bulk.

Calculated values
calculated volume: 467 Å³/cell
energy relative to the lowest polymorph listed for this composition: 3 meV per atom
crystal system: tetragonal
E_tot: -55.6 eV per cell
total moment: 0.000 μB/f.u.

```
data_SbHPb2
_cell_length_a 5.998
_cell_length_b 5.998
_cell_length_c 12.986
_cell_angle_alpha 90.00
_cell_angle_beta 90.00
_cell_angle_gamma 90.00
_space_group_name_H-M_alt 'I -4 2 d'
_space_group_IT_number 122
_space_group_name_Hall 'I -4 2bw'
loop_
_atom_site_label
_atom_site_fract_x
_atom_site_fract_y
_atom_site_fract_z
Sb1 0.000 0.000 0.000
H1 0.000 0.000 0.500
Pb1 0.144 0.250 0.625
```

Record 2
The following is a PBE calculation of a relaxed structure of SbH2Pb, from Alexandria via LeMat-Bulk.

Calculated values
calculated volume: 259 Å³/cell
energy relative to the lowest polymorph listed for this composition: 520 meV per atom
crystal system: cubic
E_tot: -47.6 eV per cell
total moment: 0.000 μB/f.u.

```
data_SbH2Pb
_cell_length_a 6.373
_cell_length_b 6.373
_cell_length_c 6.373
_cell_angle_alpha 90.00
_cell_angle_beta 90.00
_cell_angle_gamma 90.00
_space_group_name_H-M_alt 'F m -3 m'
_space_group_IT_number 225
_space_group_name_Hall '-F 4 2 3'
loop_
_atom_site_label
_atom_site_fract_x
_atom_site_fract_y
_atom_site_fract_z
Sb1 0.000 0.000 0.000
H1 0.250 0.250 0.250
Pb1 0.000 0.000 0.500
```

Record 3
The following is a PBE calculation of a relaxed structure of Sb2HPb, from Alexandria via LeMat-Bulk.

Calculated values
calculated volume: 386 Å³/cell
energy relative to the lowest polymorph listed for this composition: 207 meV per atom
crystal system: cubic
E_tot: -51.2 eV per cell
total moment: 0.000 μB/f.u.

```
data_Sb2HPb
_cell_length_a 7.284
_cell_length_b 7.284
_cell_length_c 7.284
_cell_angle_alpha 90.00
_cell_angle_beta 90.00
_cell_angle_gamma 90.00
_space_group_name_H-M_alt 'F m -3 m'
_space_group_IT_number 225
_space_group_name_Hall '-F 4 2 3'
loop_
_atom_site_label
_atom_site_fract_x
_atom_site_fract_y
_atom_site_fract_z
Sb1 0.250 0.250 0.250
H1 0.000 0.000 0.000
Pb1 0.000 0.000 0.500
```

Record 4
The following is a PBE calculation of a relaxed structure of Sb2H2Pb, from Alexandria via LeMat-Bulk.

Calculated values
calculated volume: 186 Å³/cell
energy relative to the lowest polymorph listed for this composition: 0 meV per atom
crystal system: tetragonal
E_tot: -32.4 eV per cell
total moment: 0.000 μB/f.u.

```
data_Sb2H2Pb
_cell_length_a 3.884
_cell_length_b 3.884
_cell_length_c 12.331
_cell_angle_alpha 90.00
_cell_angle_beta 90.00
_cell_angle_gamma 90.00
_space_group_name_H-M_alt 'I 4/m m m'
_space_group_IT_number 139
_space_group_name_Hall '-I 4 2'
loop_
_atom_site_label
_atom_site_fract_x
_atom_site_fract_y
_atom_site_fract_z
Sb1 0.000 0.000 0.152
H1 0.000 0.500 0.250
Pb1 0.000 0.000 0.500
```